(1)
Entry from the Alexandria database: a relaxed In5Ga2Pd12 crystal (PBE-GGA).

Lattice parameters (Å, degrees): 8.198 8.198 9.460 116.25 116.25 40.33
Atoms (fractional coordinates):
In 0.000 0.000 0.000
In 0.300 0.300 0.477
In 0.326 0.326 0.992
In 0.674 0.674 0.008
In 0.700 0.700 0.523
Ga 0.251 0.749 0.500
Ga 0.749 0.251 0.500
Pd 0.007 0.007 0.288
Pd 0.080 0.585 0.248
Pd 0.102 0.598 0.760
Pd 0.402 0.898 0.240
Pd 0.415 0.920 0.752
Pd 0.497 0.497 0.724
Pd 0.503 0.503 0.276
Pd 0.585 0.080 0.248
Pd 0.598 0.102 0.760
Pd 0.898 0.402 0.240
Pd 0.920 0.415 0.752
Pd 0.993 0.993 0.712

Properties
symmetry = C2/m, No. 12

(2)
Entry from the Alexandria database: a relaxed InGa3Pd crystal (PBE-GGA).

Lattice parameters (Å, degrees): 6.449 6.449 5.635 90.00 90.00 120.11
Atoms (fractional coordinates):
In 0.167 0.833 0.750
In 0.833 0.167 0.250
Ga 0.113 0.306 0.750
Ga 0.306 0.113 0.250
Ga 0.307 0.693 0.250
Ga 0.693 0.307 0.750
Ga 0.694 0.887 0.750
Ga 0.887 0.694 0.250
Pd 0.500 0.500 0.000
Pd 0.500 0.500 0.500

Properties
offset from the most stable computed form = 92.9 meV per atom
symmetry = Cmcm, No. 63

(3)
Entry from the Alexandria database: a relaxed In2GaPd2 crystal (PBE-GGA).

Lattice parameters (Å, degrees): 8.027 8.027 3.038 90.00 90.00 90.00
Atoms (fractional coordinates):
In 0.157 0.343 0.000
In 0.343 0.843 0.000
In 0.657 0.157 0.000
In 0.843 0.657 0.000
Ga 0.000 0.000 0.000
Ga 0.500 0.500 0.000
Pd 0.139 0.639 0.500
Pd 0.361 0.139 0.500
Pd 0.639 0.861 0.500
Pd 0.861 0.361 0.500

Properties
offset from the most stable computed form = 105.4 meV per atom
symmetry = P4/mbm, No. 127

(4)
Entry from the Alexandria database: a relaxed InGaPd6 crystal (PBE-GGA).

Lattice parameters (Å, degrees): 4.737 4.737 7.264 107.45 107.45 70.38
Atoms (fractional coordinates):
In 0.000 0.000 0.000
Ga 0.500 0.500 0.500
Pd 0.059 0.572 0.207
Pd 0.153 0.153 0.441
Pd 0.428 0.941 0.793
Pd 0.572 0.059 0.207
Pd 0.847 0.847 0.559
Pd 0.941 0.428 0.793

Properties
offset from the most stable computed form = 192.2 meV per atom
symmetry = C2/m, No. 12

(5)
Entry from the Alexandria database: a relaxed InGa2Pd crystal (PBE-GGA).

Lattice parameters (Å, degrees): 9.426 9.426 9.426 19.20 19.20 19.20
Atoms (fractional coordinates):
In 0.000 0.000 0.000
Ga 0.099 0.099 0.099
Ga 0.901 0.901 0.901
Pd 0.500 0.500 0.500

Properties
symmetry = R-3m, No. 166

(6)
Entry from the Alexandria database: a relaxed In3GaPd6 crystal (PBE-GGA).

Lattice parameters (Å, degrees): 7.762 4.635 9.917 90.00 109.47 90.00
Atoms (fractional coordinates):
In 0.024 0.250 0.382
In 0.130 0.750 0.212
In 0.287 0.250 0.987
In 0.713 0.750 0.013
In 0.870 0.250 0.788
In 0.976 0.750 0.618
Ga 0.452 0.250 0.595
Ga 0.548 0.750 0.405
Pd 0.039 0.750 0.920
Pd 0.173 0.250 0.677
Pd 0.269 0.750 0.505
Pd 0.350 0.750 0.820
Pd 0.352 0.250 0.314
Pd 0.430 0.750 0.134
Pd 0.570 0.250 0.866
Pd 0.648 0.750 0.686
Pd 0.650 0.250 0.180
Pd 0.731 0.250 0.495
Pd 0.827 0.750 0.323
Pd 0.961 0.250 0.080

Properties
offset from the most stable computed form = 0.0 meV per atom
symmetry = P2_1/m, No. 11

(7)
Entry from the Alexandria database: a relaxed InGaPd crystal (PBE-GGA).

Lattice parameters (Å, degrees): 4.423 4.423 4.423 60.00 60.00 60.00
Atoms (fractional coordinates):
In 0.000 0.000 0.000
Ga 0.500 0.500 0.500
Pd 0.750 0.750 0.750

Properties
symmetry = F-43m, No. 216

(8)
Entry from the Alexandria database: a relaxed In3GaPd crystal (PBE-GGA).

Lattice parameters (Å, degrees): 5.213 5.213 5.213 90.00 90.00 90.00
Atoms (fractional coordinates):
In 0.000 0.000 0.500
In 0.000 0.500 0.000
In 0.500 0.000 0.000
Ga 0.000 0.000 0.000
Pd 0.500 0.500 0.500

Properties
offset from the most stable computed form = 672.3 meV per atom
symmetry = Pm-3m, No. 221

(9)
Entry from the Alexandria database: a relaxed In2Ga2Pd crystal (PBE-GGA).

Lattice parameters (Å, degrees): 6.653 6.653 4.742 90.00 90.00 90.00
Atoms (fractional coordinates):
In 0.178 0.322 0.000
In 0.322 0.822 0.000
In 0.678 0.178 0.000
In 0.822 0.678 0.000
Ga 0.141 0.641 0.500
Ga 0.359 0.141 0.500
Ga 0.641 0.859 0.500
Ga 0.859 0.359 0.500
Pd 0.000 0.000 0.500
Pd 0.500 0.500 0.500

Properties
offset from the most stable computed form = 0.0 meV per atom
symmetry = P4/mbm, No. 127

(10)
Entry from the Alexandria database: a relaxed InGa2Pd9 crystal (PBE-GGA).

Lattice parameters (Å, degrees): 3.976 3.976 11.799 90.00 90.00 90.00
Atoms (fractional coordinates):
In 0.000 0.000 0.000
Ga 0.000 0.000 0.337
Ga 0.000 0.000 0.663
Pd 0.000 0.500 0.176
Pd 0.000 0.500 0.500
Pd 0.000 0.500 0.824
Pd 0.500 0.000 0.176
Pd 0.500 0.000 0.500
Pd 0.500 0.000 0.824
Pd 0.500 0.500 0.000
Pd 0.500 0.500 0.338
Pd 0.500 0.500 0.662

Properties
symmetry = P4/mmm, No. 123

(11)
Entry from the Alexandria database: a relaxed InGaPd4 crystal (PBE-GGA).

Lattice parameters (Å, degrees): 7.289 3.072 17.333 90.00 90.00 90.00
Atoms (fractional coordinates):
In 0.216 0.250 0.186
In 0.284 0.750 0.686
In 0.716 0.250 0.314
In 0.784 0.750 0.814
Ga 0.250 0.250 0.950
Ga 0.250 0.750 0.450
Ga 0.750 0.250 0.550
Ga 0.750 0.750 0.050
Pd 0.029 0.750 0.294
Pd 0.029 0.750 0.569
Pd 0.110 0.750 0.057
Pd 0.153 0.750 0.840
Pd 0.347 0.250 0.340
Pd 0.390 0.250 0.557
Pd 0.471 0.250 0.069
Pd 0.471 0.250 0.794
Pd 0.529 0.750 0.206
Pd 0.529 0.750 0.931
Pd 0.610 0.750 0.443
Pd 0.653 0.750 0.660
Pd 0.847 0.250 0.160
Pd 0.890 0.250 0.943
Pd 0.971 0.250 0.431
Pd 0.971 0.250 0.706

Properties
offset from the most stable computed form = 0.0 meV per atom
symmetry = Pnma, No. 62

(12)
Entry from the Alexandria database: a relaxed InGa3Pd2 crystal (PBE-GGA).

Lattice parameters (Å, degrees): 9.252 9.252 10.459 122.36 122.36 25.57
Atoms (fractional coordinates):
In 0.000 0.000 0.000
In 0.157 0.157 0.668
In 0.843 0.843 0.332
Ga 0.005 0.005 0.704
Ga 0.202 0.202 0.400
Ga 0.305 0.305 0.033
Ga 0.367 0.367 0.807
Ga 0.500 0.500 0.500
Ga 0.633 0.633 0.193
Ga 0.695 0.695 0.967
Ga 0.798 0.798 0.600
Ga 0.995 0.995 0.296
Pd 0.212 0.212 0.158
Pd 0.380 0.380 0.561
Pd 0.465 0.465 0.124
Pd 0.535 0.535 0.876
Pd 0.620 0.620 0.439
Pd 0.788 0.788 0.842

Properties
symmetry = C2/m, No. 12

Number 1: electronic total energy -4.645 eV per atom, energy relative to the elements -0.326 eV/atom. Number 2: electronic total energy -3.563 eV per atom, energy relative to the elements -0.161 eV/atom. Number 3: electronic total energy -4.054 eV per atom, energy relative to the elements -0.276 eV/atom. Number 4: electronic total energy -4.859 eV per atom, energy relative to the elements -0.243 eV/atom. Number 5: electronic total energy -3.730 eV per atom, energy relative to the elements -0.233 eV/atom. Number 6: electronic total energy -4.747 eV per atom, energy relative to the elements -0.507 eV/atom. Number 7: electronic total energy -4.020 eV per atom, energy relative to the elements -0.367 eV/atom. Number 8: electronic total energy -2.791 eV per atom, energy relative to the elements 0.496 eV/atom. Number 9: electronic total energy -3.471 eV per atom, energy relative to the elements -0.126 eV/atom. Number 10: electronic total energy -5.066 eV per atom, energy relative to the elements -0.439 eV/atom. Number 11: electronic total energy -4.948 eV per atom, energy relative to the elements -0.526 eV/atom. Number 12: electronic total energy -4.074 eV per atom, energy relative to the elements -0.374 eV/atom.